Record 1
{
  "formula": "CaMo2Cl",
  "functional": "PBE-GGA",
  "state": "relaxed",
  "lattice_angstrom": [[2.8501, 0.0000, 0.0000], [0.0000, 2.8501, 0.0000], [0.0000, 0.0000, 9.0963]],
  "species": ["Ca", "Mo", "Mo", "Cl"],
  "fractional_positions": [[0.0000, 0.0000, 0.0000], [0.5000, 0.5000, 0.2852], [0.5000, 0.5000, 0.7148], [0.0000, 0.0000, 0.5000]],
  "volume_a3_per_cell": 73.9,
  "e_above_lowest_polymorph_mev_per_atom": 1016.1,
  "crystal_system": "tetragonal",
  "dos_ef_per_ev_cell": 4.04,
  "e_form_raw_ev_per_atom": 0.87
}



Record 2
{
  "formula": "BaAs2Rh",
  "functional": "PBE-GGA",
  "state": "relaxed",
  "lattice_angstrom": [[0.0000, 3.5682, 3.5682], [3.5682, 0.0000, 3.5682], [3.5682, 3.5682, 0.0000]],
  "species": ["Ba", "As", "As", "Rh"],
  "fractional_positions": [[0.0000, 0.0000, 0.0000], [0.2500, 0.2500, 0.2500], [0.5000, 0.5000, 0.5000], [0.7500, 0.7500, 0.7500]],
  "volume_a3_per_cell": 90.9,
  "crystal_system": "cubic",
  "dos_ef_per_ev_cell": 3.49,
  "delta_e_f_kj_per_mol_atoms": 10.62
}